Record 1
4
Lattice="3.214 0.000 0.000 0.000 4.631 0.000 0.000 0.000 5.826" Properties=species:S:1:pos:R:3 comment="LaSc2Ir PBE relaxed" e_tot_ev_per_atom=-6.7779 polymorph_energy_mev_per_atom=326 e_form_ev_per_atom=-0.165 pbc="T T T"
La 0.000 0.000 0.000
Sc 1.607 2.316 1.613
Sc 1.607 2.316 4.213
Ir 0.000 0.000 2.913

Record 2
4
Lattice="1.927 1.113 9.464 -1.927 1.113 9.464 0.000 -2.225 9.464" Properties=species:S:1:pos:R:3 comment="Tb2DyAs PBE relaxed" e_tot_ev_per_atom=-5.2118 e_form_ev_per_atom=-0.584 pbc="T T T"
Tb 0.000 0.000 6.483
Tb 0.000 0.000 21.908
Dy 0.000 0.000 0.000
As 0.000 0.000 14.196

Record 3
16
Lattice="7.928 0.000 0.000 0.000 7.928 0.000 0.000 0.000 4.820" Properties=species:S:1:pos:R:3 comment="TiNb PBE relaxed" e_tot_ev_per_atom=-8.6753 e_form_ev_per_atom=0.307 pbc="T T T"
Ti 0.287 2.484 0.000
Ti 1.480 3.677 2.410
Ti 2.484 7.641 0.000
Ti 3.677 6.448 2.410
Ti 4.251 1.480 2.410
Ti 5.444 0.287 0.000
Ti 6.448 4.251 2.410
Ti 7.641 5.444 0.000
Nb 1.064 6.343 2.410
Nb 1.585 1.064 2.410
Nb 2.379 5.028 0.000
Nb 2.900 2.379 0.000
Nb 5.028 5.549 0.000
Nb 5.549 2.900 0.000
Nb 6.343 6.864 2.410
Nb 6.864 1.585 2.410

Record 4
5
Lattice="4.031 -1.819 0.000 4.031 1.819 0.000 -4.003 0.000 4.090" Properties=species:S:1:pos:R:3 comment="Co2Ni2Pt PBE relaxed" e_tot_ev_per_atom=-6.4134 polymorph_energy_mev_per_atom=0 e_form_ev_per_atom=-0.050 pbc="T T T"
Co 1.174 0.000 0.384
Co 2.885 0.000 3.706
Ni 0.425 0.000 2.908
Ni 3.634 0.000 1.182
Pt -2.001 0.000 2.045

Record 5
4
Lattice="2.937 0.000 0.000 0.000 3.714 0.000 -0.099 0.000 8.911" Properties=species:S:1:pos:R:3 comment="Te2PtW PBE relaxed" e_tot_ev_per_atom=-6.1931 polymorph_energy_mev_per_atom=76 e_form_raw_ev_per_atom=0.126 pbc="T T T"
Te 0.000 0.000 0.000
Te 1.369 1.857 3.526
Pt 1.379 0.000 5.501
W 2.848 1.857 6.850

Record 6
5
Lattice="-1.790 1.790 10.662 1.790 -1.790 10.662 1.790 1.790 -10.662" Properties=species:S:1:pos:R:3 comment="Ca2Ti2Pb PBE relaxed" e_tot_ev_per_atom=-4.5617 polymorph_energy_mev_per_atom=0 e_form_ev_per_atom=0.139 pbc="T T T"
Ca 0.000 0.000 2.319
Ca 0.000 0.000 19.006
Ti 1.790 0.000 5.331
Ti 0.000 1.790 5.331
Pb 0.000 0.000 10.662